The following is a PBE-GGA calculation of crystalline Ac3ThSn4 at its relaxed geometry, from Alexandria via LeMat-Bulk.

Its calculated formation energy is -0.479 eV/atom.

The structure in POSCAR format:
```
Ac3ThSn4
1.0
-4.043 4.043 4.043
4.043 -4.043 4.043
4.043 4.043 -4.043
Ac Th Sn
3 1 4
Cartesian
4.043 0.000 0.000
0.000 4.043 0.000
0.000 0.000 4.043
0.000 0.000 0.000
2.022 2.022 -2.022
2.022 -2.022 2.022
-2.022 2.022 2.022
2.022 2.022 2.022
```